Record 1
# AcSm2Zn2Sn2 | Alexandria via LeMat-Bulk | PBE | optimized geometry
data_AcSm2Zn2Sn2
_chemical_formula_sum 'Ac1 Sm2 Zn2 Sn2'
_symmetry_space_group_name_H-M 'P 1'
_symmetry_Int_Tables_number 1
_cell_length_a 10.3910
_cell_length_b 10.3910
_cell_length_c 10.3910
_cell_angle_alpha 26.23
_cell_angle_beta 26.23
_cell_angle_gamma 26.23
loop_
_symmetry_equiv_pos_as_xyz
'x,y,z'
loop_
_atom_site_label
_atom_site_fract_x
_atom_site_fract_y
_atom_site_fract_z
Ac1 0.0000 0.0000 0.0000
Sm1 0.1333 0.1333 0.1333
Sm2 0.8667 0.8667 0.8667
Zn1 0.4229 0.4229 0.4229
Zn2 0.5771 0.5771 0.5771
Sn1 0.2613 0.2613 0.2613
Sn2 0.7387 0.7387 0.7387
# Energy in eV per atom: -3.822
# Crystal system: trigonal
# DOS at the Fermi energy in states/eV/cell: 7.630
# Symmetry: No. 166

Record 2
# SrAc9Sm2 | Alexandria via LeMat-Bulk | PBE | optimized geometry
data_SrAc9Sm2
_chemical_formula_sum 'Sr1 Ac9 Sm2'
_symmetry_space_group_name_H-M 'P 1'
_symmetry_Int_Tables_number 1
_cell_length_a 5.5753
_cell_length_b 5.5753
_cell_length_c 16.7836
_cell_angle_alpha 90.00
_cell_angle_beta 90.00
_cell_angle_gamma 90.00
loop_
_symmetry_equiv_pos_as_xyz
'x,y,z'
loop_
_atom_site_label
_atom_site_fract_x
_atom_site_fract_y
_atom_site_fract_z
Sr1 0.0000 0.0000 0.0000
Ac1 0.0000 0.5000 0.1754
Ac2 0.0000 0.5000 0.5000
Ac3 0.0000 0.5000 0.8246
Ac4 0.5000 0.0000 0.1754
Ac5 0.5000 0.0000 0.5000
Ac6 0.5000 0.0000 0.8246
Ac7 0.5000 0.5000 0.0000
Ac8 0.5000 0.5000 0.3373
Ac9 0.5000 0.5000 0.6627
Sm1 0.0000 0.0000 0.3355
Sm2 0.0000 0.0000 0.6645
# Energy in eV per atom: -3.968
# Crystal system: tetragonal
# DOS at the Fermi energy in states/eV/cell: 21.082
# Symmetry: No. 123

Record 3
# SrAcSm2 | Alexandria via LeMat-Bulk | PBE | optimized geometry
data_SrAcSm2
_chemical_formula_sum 'Sr3 Ac3 Sm6'
_symmetry_space_group_name_H-M 'P 1'
_symmetry_Int_Tables_number 1
_cell_length_a 3.8424
_cell_length_b 3.8424
_cell_length_c 37.8690
_cell_angle_alpha 90.00
_cell_angle_beta 90.00
_cell_angle_gamma 120.00
loop_
_symmetry_equiv_pos_as_xyz
'x,y,z'
loop_
_atom_site_label
_atom_site_fract_x
_atom_site_fract_y
_atom_site_fract_z
Sr1 0.0000 0.0000 0.0000
Sr2 0.3333 0.6667 0.6667
Sr3 0.6667 0.3333 0.3333
Ac1 0.0000 0.0000 0.8337
Ac2 0.3333 0.6667 0.5004
Ac3 0.6667 0.3333 0.1670
Sm1 0.0000 0.0000 0.4195
Sm2 0.0000 0.0000 0.5806
Sm3 0.3333 0.6667 0.0862
Sm4 0.3333 0.6667 0.2473
Sm5 0.6667 0.3333 0.7529
Sm6 0.6667 0.3333 0.9140
# Energy in eV per atom: -3.677
# Offset from the most stable computed form in eV/atom: 0.013
# Crystal system: trigonal
# DOS at the Fermi energy in states/eV/cell: 21.615
# Symmetry: No. 160

Record 4
# SrAcSm2 | Alexandria via LeMat-Bulk | PBE | optimized geometry
data_SrAcSm2
_chemical_formula_sum 'Sr1 Ac1 Sm2'
_symmetry_space_group_name_H-M 'P 1'
_symmetry_Int_Tables_number 1
_cell_length_a 3.8579
_cell_length_b 3.8579
_cell_length_c 10.8745
_cell_angle_alpha 90.00
_cell_angle_beta 90.00
_cell_angle_gamma 90.00
loop_
_symmetry_equiv_pos_as_xyz
'x,y,z'
loop_
_atom_site_label
_atom_site_fract_x
_atom_site_fract_y
_atom_site_fract_z
Sr1 0.0000 0.0000 0.0000
Ac1 0.0000 0.0000 0.5000
Sm1 0.5000 0.5000 0.2675
Sm2 0.5000 0.5000 0.7325
# Energy in eV per atom: -3.690
# Offset from the most stable computed form in eV/atom: 0.000
# Crystal system: tetragonal
# DOS at the Fermi energy in states/eV/cell: 7.818
# Symmetry: No. 123

Record 5
# SrAc3Sm | Alexandria via LeMat-Bulk | PBE | optimized geometry
data_SrAc3Sm
_chemical_formula_sum 'Sr2 Ac6 Sm2'
_symmetry_space_group_name_H-M 'P 1'
_symmetry_Int_Tables_number 1
_cell_length_a 8.7723
_cell_length_b 5.6522
_cell_length_c 8.8301
_cell_angle_alpha 90.00
_cell_angle_beta 90.50
_cell_angle_gamma 90.00
loop_
_symmetry_equiv_pos_as_xyz
'x,y,z'
loop_
_atom_site_label
_atom_site_fract_x
_atom_site_fract_y
_atom_site_fract_z
Sr1 0.2464 0.2500 0.2579
Sr2 0.7536 0.7500 0.7421
Ac1 0.1485 0.7500 0.9461
Ac2 0.3362 0.7500 0.5554
Ac3 0.4395 0.2500 0.8461
Ac4 0.5605 0.7500 0.1539
Ac5 0.6638 0.2500 0.4446
Ac6 0.8515 0.2500 0.0539
Sm1 0.0525 0.2500 0.6496
Sm2 0.9475 0.7500 0.3504
# Energy in eV per atom: -3.660
# Crystal system: monoclinic
# DOS at the Fermi energy in states/eV/cell: 17.486
# Symmetry: No. 11

Record 6
# SrAc4Sm | Alexandria via LeMat-Bulk | PBE | optimized geometry
data_SrAc4Sm
_chemical_formula_sum 'Sr1 Ac4 Sm1'
_symmetry_space_group_name_H-M 'P 1'
_symmetry_Int_Tables_number 1
_cell_length_a 7.3585
_cell_length_b 7.3585
_cell_length_c 7.3585
_cell_angle_alpha 60.00
_cell_angle_beta 60.00
_cell_angle_gamma 60.00
loop_
_symmetry_equiv_pos_as_xyz
'x,y,z'
loop_
_atom_site_label
_atom_site_fract_x
_atom_site_fract_y
_atom_site_fract_z
Sr1 0.0000 0.0000 0.0000
Ac1 0.3766 0.3766 0.3766
Ac2 0.3766 0.3766 0.8703
Ac3 0.3766 0.8703 0.3766
Ac4 0.8703 0.3766 0.3766
Sm1 0.7500 0.7500 0.7500
# Energy in eV per atom: -3.538
# Offset from the most stable computed form in eV/atom: 0.223
# Crystal system: cubic
# DOS at the Fermi energy in states/eV/cell: 9.104
# Symmetry: No. 216

Record 7
# SrAcSm2 | Alexandria via LeMat-Bulk | PBE | optimized geometry
data_SrAcSm2
_chemical_formula_sum 'Sr1 Ac1 Sm2'
_symmetry_space_group_name_H-M 'P 1'
_symmetry_Int_Tables_number 1
_cell_length_a 5.4194
_cell_length_b 5.4194
_cell_length_c 5.4405
_cell_angle_alpha 90.00
_cell_angle_beta 90.00
_cell_angle_gamma 90.00
loop_
_symmetry_equiv_pos_as_xyz
'x,y,z'
loop_
_atom_site_label
_atom_site_fract_x
_atom_site_fract_y
_atom_site_fract_z
Sr1 0.0000 0.0000 0.0000
Ac1 0.5000 0.5000 0.0000
Sm1 0.0000 0.5000 0.5000
Sm2 0.5000 0.0000 0.5000
# Energy in eV per atom: -3.654
# Offset from the most stable computed form in eV/atom: 0.036
# Crystal system: tetragonal
# DOS at the Fermi energy in states/eV/cell: 7.459
# Symmetry: No. 123

Record 8
# SrAc4Sm | Alexandria via LeMat-Bulk | PBE | optimized geometry
data_SrAc4Sm
_chemical_formula_sum 'Sr1 Ac4 Sm1'
_symmetry_space_group_name_H-M 'P 1'
_symmetry_Int_Tables_number 1
_cell_length_a 3.9883
_cell_length_b 3.9883
_cell_length_c 16.6933
_cell_angle_alpha 90.00
_cell_angle_beta 90.00
_cell_angle_gamma 90.00
loop_
_symmetry_equiv_pos_as_xyz
'x,y,z'
loop_
_atom_site_label
_atom_site_fract_x
_atom_site_fract_y
_atom_site_fract_z
Sr1 0.0000 0.0000 0.0000
Ac1 0.0000 0.0000 0.3478
Ac2 0.0000 0.0000 0.6522
Ac3 0.5000 0.5000 0.1850
Ac4 0.5000 0.5000 0.8150
Sm1 0.5000 0.5000 0.5000
# Energy in eV per atom: -3.761
# Offset from the most stable computed form in eV/atom: 0.000
# Crystal system: tetragonal
# DOS at the Fermi energy in states/eV/cell: 10.820
# Symmetry: No. 123

Record 9
# SrAcSm2 | Alexandria via LeMat-Bulk | PBE | optimized geometry
data_SrAcSm2
_chemical_formula_sum 'Sr4 Ac4 Sm8'
_symmetry_space_group_name_H-M 'P 1'
_symmetry_Int_Tables_number 1
_cell_length_a 8.6304
_cell_length_b 8.6304
_cell_length_c 8.6304
_cell_angle_alpha 90.00
_cell_angle_beta 90.00
_cell_angle_gamma 90.00
loop_
_symmetry_equiv_pos_as_xyz
'x,y,z'
loop_
_atom_site_label
_atom_site_fract_x
_atom_site_fract_y
_atom_site_fract_z
Sr1 0.0000 0.0000 0.0000
Sr2 0.0000 0.5000 0.5000
Sr3 0.5000 0.0000 0.5000
Sr4 0.5000 0.5000 0.0000
Ac1 0.0000 0.0000 0.5000
Ac2 0.0000 0.5000 0.0000
Ac3 0.5000 0.0000 0.0000
Ac4 0.5000 0.5000 0.5000
Sm1 0.2500 0.2500 0.2500
Sm2 0.2500 0.2500 0.7500
Sm3 0.2500 0.7500 0.2500
Sm4 0.2500 0.7500 0.7500
Sm5 0.7500 0.2500 0.2500
Sm6 0.7500 0.2500 0.7500
Sm7 0.7500 0.7500 0.2500
Sm8 0.7500 0.7500 0.7500
# Energy in eV per atom: -3.600
# Offset from the most stable computed form in eV/atom: 0.090
# Crystal system: cubic
# DOS at the Fermi energy in states/eV/cell: 32.859
# Symmetry: No. 225

Record 10
# SrAcSm2 | Alexandria via LeMat-Bulk | PBE | optimized geometry
data_SrAcSm2
_chemical_formula_sum 'Sr3 Ac3 Sm6'
_symmetry_space_group_name_H-M 'P 1'
_symmetry_Int_Tables_number 1
_cell_length_a 3.7636
_cell_length_b 3.7636
_cell_length_c 39.8621
_cell_angle_alpha 90.00
_cell_angle_beta 90.00
_cell_angle_gamma 120.00
loop_
_symmetry_equiv_pos_as_xyz
'x,y,z'
loop_
_atom_site_label
_atom_site_fract_x
_atom_site_fract_y
_atom_site_fract_z
Sr1 0.0000 0.0000 0.0000
Sr2 0.3333 0.6667 0.6667
Sr3 0.6667 0.3333 0.3333
Ac1 0.0000 0.0000 0.5000
Ac2 0.3333 0.6667 0.1667
Ac3 0.6667 0.3333 0.8333
Sm1 0.0000 0.0000 0.0907
Sm2 0.0000 0.0000 0.9093
Sm3 0.3333 0.6667 0.5759
Sm4 0.3333 0.6667 0.7574
Sm5 0.6667 0.3333 0.2426
Sm6 0.6667 0.3333 0.4241
# Energy in eV per atom: -3.594
# Offset from the most stable computed form in eV/atom: 0.096
# Crystal system: trigonal
# DOS at the Fermi energy in states/eV/cell: 21.385
# Symmetry: No. 166

Record 11
# SrAc14Sm | Alexandria via LeMat-Bulk | PBE | optimized geometry
data_SrAc14Sm
_chemical_formula_sum 'Sr1 Ac14 Sm1'
_symmetry_space_group_name_H-M 'P 1'
_symmetry_Int_Tables_number 1
_cell_length_a 11.2461
_cell_length_b 7.9815
_cell_length_c 7.9815
_cell_angle_alpha 89.99
_cell_angle_beta 90.00
_cell_angle_gamma 90.00
loop_
_symmetry_equiv_pos_as_xyz
'x,y,z'
loop_
_atom_site_label
_atom_site_fract_x
_atom_site_fract_y
_atom_site_fract_z
Sr1 0.0000 0.0000 0.0000
Ac1 0.0000 0.9996 0.5006
Ac2 0.0000 0.5006 0.9996
Ac3 0.2494 0.2549 0.2549
Ac4 0.2497 0.2551 0.7451
Ac5 0.2497 0.7451 0.2551
Ac6 0.2505 0.7452 0.7452
Ac7 0.5000 0.0001 0.0001
Ac8 0.5000 0.0004 0.4995
Ac9 0.5000 0.4995 0.0004
Ac10 0.5000 0.4998 0.4998
Ac11 0.7495 0.7452 0.7452
Ac12 0.7503 0.2551 0.7451
Ac13 0.7503 0.7451 0.2551
Ac14 0.7506 0.2549 0.2549
Sm1 0.0000 0.5004 0.5004
# Energy in eV per atom: -3.964
# Crystal system: orthorhombic
# DOS at the Fermi energy in states/eV/cell: 28.353
# Symmetry: No. 38